DFT (PBE) results for a relaxed structure of La15ErMg4.

Computed properties:
Calculated formation energy: -0.014 eV per atom
Space-group type: No. 123
Calculated volume: 33.93 Å³/atom

Unit cell a=5.143 b=5.143 c=25.652 alpha=90.00 beta=90.00 gamma=90.00
Atoms (fractional coordinates):
La1 0.500 0.500 0.000
La2 0.500 0.500 0.201
La3 0.500 0.500 0.401
La4 0.500 0.500 0.599
La5 0.500 0.500 0.799
La6 0.500 0.000 0.101
La7 0.500 0.000 0.301
La8 0.500 0.000 0.500
La9 0.500 0.000 0.699
La10 0.500 0.000 0.899
La11 0.000 0.500 0.101
La12 0.000 0.500 0.301
La13 0.000 0.500 0.500
La14 0.000 0.500 0.699
La15 0.000 0.500 0.899
Er1 0.000 0.000 0.000
Mg1 0.000 0.000 0.203
Mg2 0.000 0.000 0.401
Mg3 0.000 0.000 0.599
Mg4 0.000 0.000 0.797